[1]
This record from Alexandria describes a relaxed structure of TiInAgRh. The functional is PBE.

Cell lengths 4.587, 4.587, 4.587 Å; angles 60.00, 60.00, 60.00 degrees
Fractional coordinates of all 4 atoms:
Ti (0.250, 0.250, 0.250)
Rh (0.500, 0.500, 0.500)
Ag (0.000, 0.000, 0.000)
In (0.750, 0.750, 0.750)

Values from the calculation:
- crystal system = cubic
- theoretical density (g/cm³) = 9.1
- energy (eV/f.u.) = -21.925

[2]
This record from Alexandria describes a relaxed structure of TmInAgRh. The functional is PBE.

Cell lengths 4.791, 4.791, 4.791 Å; angles 60.00, 60.00, 60.00 degrees
Fractional coordinates of all 4 atoms:
Tm (0.000, 0.000, 0.000)
Rh (0.750, 0.750, 0.750)
Ag (0.250, 0.250, 0.250)
In (0.500, 0.500, 0.500)

Values from the calculation:
- crystal system = cubic
- theoretical density (g/cm³) = 10.6
- energy (eV/f.u.) = -19.398

[3]
This record from Alexandria describes a relaxed structure of Tm4InAgRh2. The functional is PBE.

Cell lengths 4.961, 4.961, 8.630 Å; angles 73.29, 73.29, 60.00 degrees
Fractional coordinates of all 8 atoms:
Tm (0.378, 0.378, 0.865)
Tm (0.872, 0.872, 0.383)
Tm (0.128, 0.128, 0.617)
Tm (0.622, 0.622, 0.135)
In (0.000, 0.000, 0.000)
Ag (0.500, 0.500, 0.500)
Rh (0.749, 0.749, 0.754)
Rh (0.251, 0.251, 0.246)

Values from the calculation:
- crystal system = trigonal
- theoretical density (g/cm³) = 10.6
- energy (eV/f.u.) = -43.074

[4]
This record from Alexandria describes a relaxed structure of InAgRu2. The functional is PBE.

Cell lengths 3.001, 4.692, 4.709 Å; angles 90.00, 90.00, 90.00 degrees
Fractional coordinates of all 4 atoms:
Ag (0.500, 0.000, 0.500)
In (0.000, 0.500, 0.500)
Ru (0.000, 0.000, 0.000)
Ru (0.500, 0.500, 0.000)

Values from the calculation:
- crystal system = orthorhombic
- theoretical density (g/cm³) = 10.6
- energy (eV/f.u.) = -22.384

[5]
This record from Alexandria describes a relaxed structure of InAgRu2. The functional is PBE.

Cell lengths 7.454, 7.454, 5.882 Å; angles 50.68, 50.68, 90.00 degrees
Fractional coordinates of all 8 atoms:
Ru (0.630, 0.125, 0.250)
Ru (0.120, 0.625, 0.250)
Ru (0.375, 0.370, 0.750)
Ru (0.875, 0.880, 0.750)
Ag (0.500, 0.500, 0.000)
Ag (0.250, 0.750, 0.500)
In (0.000, 0.000, 0.000)
In (0.750, 0.250, 0.500)

Values from the calculation:
- crystal system = tetragonal
- theoretical density (g/cm³) = 9.7
- energy (eV/f.u.) = -20.755

[6]
This record from Alexandria describes a relaxed structure of InAgRu2. The functional is PBE.

Cell lengths 4.835, 4.835, 4.835 Å; angles 129.73, 129.73, 73.84 degrees
Fractional coordinates of all 4 atoms:
Ag (0.500, 0.500, 0.000)
In (0.750, 0.250, 0.500)
Ru (0.000, 0.000, 0.000)
Ru (0.250, 0.750, 0.500)

Values from the calculation:
- crystal system = tetragonal
- theoretical density (g/cm³) = 10.8
- energy (eV/f.u.) = -22.663

Fermi-level density of states values, unit states/eV/f.u., following the record order: 4.7, 2.8, 5.1, 4.0, 5.2, 5.0.